[1]
PuCdSb2 | PBE-GGA | relaxed

Calculated values
The electronic total energy comes out at -6.08 eV/atom. As for the energy above the lowest structure with this stoichiometry: 0.188 eV/atom. As for the uncorrected formation energy: -20.3 kJ/mol of atoms.

Cell: 4.5448 4.5448 19.8067 Å, 90.00 90.00 120.00°
Closest atoms and distances in Å follow each position.
Space group R3m (No. 160, hexagonal axes)
Symmetry-distinct sites (fractional):
Pu: 0.0000 0.0000 0.0000 x3  6 Sb 3.10-3.12, 1 Cd 3.42
Cd: 0.0000 0.0000 0.8272 x3  6 Sb 3.04-3.15
Sb: 0.0000 0.0000 0.4166 x3  3 Cd 3.04, 3 Pu 3.10, 1 Sb 3.27
Sb: 0.0000 0.0000 0.5817 x3  3 Pu 3.12, 3 Cd 3.15, 1 Sb 3.27

---

[2]
PuCdSb2 | PBE-GGA | relaxed

Calculated values
The electronic total energy comes out at -6.27 eV/atom. As for the energy above the lowest structure with this stoichiometry: 0.000 eV/atom. As for the uncorrected formation energy: -38.5 kJ/mol of atoms.

Cell: 4.4123 4.4123 10.5877 Å, 90.00 90.00 90.00°
Closest atoms and distances in Å follow each position.
Space group P4/nmm (No. 129, origin choice 2)
Symmetry-distinct sites (fractional):
Pu: 0.2500 0.2500 0.2269 x2  8 Sb 3.20-3.26
Cd: 0.2500 0.7500 0.5000 x2  4 Sb 3.09, 4 Cd 3.12
Sb: 0.2500 0.2500 0.7044 x2  4 Cd 3.09, 4 Pu 3.20
Sb: 0.2500 0.7500 0.0000 x2  4 Sb 3.12, 4 Pu 3.26

---

[3]
PuCdSb | PBE-GGA | relaxed

Calculated values
The electronic total energy comes out at -6.63 eV/atom. As for the energy above the lowest structure with this stoichiometry: 0.076 eV/atom. As for the uncorrected formation energy: -16.4 kJ/mol of atoms.

Cell: 3.5121 3.5121 12.8700 Å, 90.00 90.00 90.00°
Closest atoms and distances in Å follow each position.
Space group I4mm (No. 107)
Symmetry-distinct sites (fractional):
Pu: 0.0000 0.0000 0.0000 x2  4 Sb 3.25, 4 Cd 3.37, 4 Pu 3.51
Cd: 0.0000 0.0000 0.3231 x2  4 Sb 3.23, 4 Pu 3.37, 4 Cd 3.51
Sb: 0.0000 0.0000 0.6623 x2  4 Cd 3.23, 4 Pu 3.25, 4 Sb 3.51

---

[4]
Pu6CdSb2 | PBE-GGA | relaxed

Calculated values
The electronic total energy comes out at -10.66 eV/atom. As for the uncorrected formation energy: -8.3 kJ/mol of atoms.

Cell: 8.9215 8.9215 3.3694 Å, 90.00 90.00 120.00°
Closest atoms and distances in Å follow each position.
Space group P6/mmm (No. 191)
Symmetry-distinct sites (fractional):
Pu: 0.0000 0.3363 0.0000 x6  3 Pu 2.92-3.00
Cd: 0.0000 0.0000 0.5000 x1  2 Cd 3.37, 12 Pu 3.44
Sb: 0.3333 0.6667 0.5000 x2  2 Sb 3.37, 12 Pu 3.41

---

[5]
PuCdSb2 | PBE-GGA | relaxed

Calculated values
The electronic total energy comes out at -6.26 eV/atom. As for the energy above the lowest structure with this stoichiometry: 0.014 eV/atom. As for the uncorrected formation energy: -37.1 kJ/mol of atoms.

Cell: 4.8524 4.8524 4.2776 Å, 90.00 90.00 90.00°
Closest atoms and distances in Å follow each position.
Space group P4/mmm (No. 123)
Symmetry-distinct sites (fractional):
Pu: 0.0000 0.0000 0.0000 x1  8 Sb 3.23, 4 Cd 3.43
Cd: 0.5000 0.5000 0.0000 x1  8 Sb 3.23, 4 Pu 3.43
Sb: 0.0000 0.5000 0.5000 x2  4 Cd 3.23, 4 Pu 3.23, 4 Sb 3.43

---

[6]
PuCdSb2 | PBE-GGA | relaxed

Calculated values
The electronic total energy comes out at -5.84 eV/atom. As for the energy above the lowest structure with this stoichiometry: 0.432 eV/atom. As for the uncorrected formation energy: 3.1 kJ/mol of atoms.

Cell: 4.6989 4.6989 25.4529 Å, 90.00 90.00 120.00°
Closest atoms and distances in Å follow each position.
Space group R-3m (No. 166, hexagonal axes)
Symmetry-distinct sites (fractional):
Pu: 0.0000 0.0000 0.0000 x3  6 Sb 3.11
Cd: 0.0000 0.0000 0.5000 x3  2 Sb 2.72
Sb: 0.0000 0.0000 0.3932 x6  1 Cd 2.72

---

[7]
PuCdSb | PBE-GGA | relaxed

Calculated values
The electronic total energy comes out at -6.70 eV/atom. As for the energy above the lowest structure with this stoichiometry: 0.000 eV/atom. As for the uncorrected formation energy: -23.7 kJ/mol of atoms.

Cell: 5.2025 5.2025 3.2558 Å, 90.00 90.00 120.00°
Closest atoms and distances in Å follow each position.
Space group P-6m2 (No. 187)
Symmetry-distinct sites (fractional):
Pu: 0.0000 0.0000 0.0000 x1  2 Pu 3.26, 6 Cd 3.42, 6 Sb 3.42
Cd: 0.3333 0.6667 0.5000 x1  3 Sb 3.00, 2 Cd 3.26
Sb: 0.6667 0.3333 0.5000 x1  3 Cd 3.00, 2 Sb 3.26

---

[8]
PuCdSb | PBE-GGA | relaxed

Calculated values
The electronic total energy comes out at -6.42 eV/atom. As for the energy above the lowest structure with this stoichiometry: 0.279 eV/atom. As for the uncorrected formation energy: 3.2 kJ/mol of atoms.

Cell: 3.8331 3.8331 34.3370 Å, 90.00 90.00 120.00°
Closest atoms and distances in Å follow each position.
Space group R-3m (No. 166, hexagonal axes)
Symmetry-distinct sites (fractional):
Pu: 0.0000 0.0000 0.1802 x6  3 Pu 2.40
Cd: 0.0000 0.0000 0.3041 x6  3 Cd 2.99, 3 Sb 3.05
Sb: 0.0000 0.0000 0.0905 x6  3 Cd 3.05, 4 Pu 3.08-3.09

---

[9]
SrPuCdSb | PBE-GGA | relaxed

Calculated values
The electronic total energy comes out at -5.64 eV/atom. As for the uncorrected formation energy: -36.7 kJ/mol of atoms.

Cell: 7.8421 7.8421 7.8421 Å, 90.00 90.00 90.00°
Closest atoms and distances in Å follow each position.
Space group F-43m (No. 216)
Symmetry-distinct sites (fractional):
Sr: 0.0000 0.0000 0.0000 x4  4 Cd 3.40, 4 Sb 3.40
Pu: 0.0000 0.0000 0.5000 x4  4 Sb 3.40, 4 Cd 3.40
Cd: 0.2500 0.2500 0.2500 x4  4 Sr 3.40, 4 Pu 3.40
Sb: 0.2500 0.2500 0.7500 x4  4 Sr 3.40, 4 Pu 3.40

---

[10]
PuTl2CdSb2 | PBE-GGA | relaxed

Calculated values
The electronic total energy comes out at -4.91 eV/atom. As for the uncorrected formation energy: -20.2 kJ/mol of atoms.

Cell: 4.7542 10.3317 7.3412 Å, 90.00 90.00 90.00°
Closest atoms and distances in Å follow each position.
Space group Pmc2_1 (No. 26)
Symmetry-distinct sites (fractional):
Pu: 0.0000 0.0402 0.0000 x2  5 Sb 3.20-3.27, 2 Cd 3.48
Tl: 0.0000 0.3352 0.6626 x2  3 Sb 3.26-3.37, 4 Tl 3.39-3.60
Tl: 0.5000 0.4529 0.9477 x2  6 Tl 3.39-3.80, 2 Sb 3.44
Cd: 0.5000 0.1713 0.3221 x2  4 Sb 2.87-3.03
Sb: 0.0000 0.3090 0.2203 x2  2 Cd 2.87
Sb: 0.5000 0.1079 0.7252 x2  2 Cd 2.97-3.03, 4 Pu 3.20-3.27

---

[11]
PuZnCdSb | PBE-GGA | relaxed

Calculated values
The electronic total energy comes out at -5.29 eV/atom. As for the uncorrected formation energy: -12.3 kJ/mol of atoms.

Cell: 7.2543 7.2543 7.2543 Å, 90.00 90.00 90.00°
Closest atoms and distances in Å follow each position.
Space group F-43m (No. 216)
Symmetry-distinct sites (fractional):
Pu: 0.0000 0.0000 0.0000 x4  4 Sb 3.14, 4 Zn 3.14
Zn: 0.2500 0.2500 0.7500 x4  4 Cd 3.14, 4 Pu 3.14
Cd: 0.0000 0.0000 0.5000 x4  4 Sb 3.14, 4 Zn 3.14
Sb: 0.2500 0.2500 0.2500 x4  4 Cd 3.14, 4 Pu 3.14

---

[12]
Pu2ScCd6 | PBE-GGA | relaxed

Calculated values
The formation energy comes out at -0.1459 eV per atom. The electronic total energy comes out at -4.64 eV/atom.

Cell: 8.8483 8.8483 3.0843 Å, 90.00 90.00 120.00°
Closest atoms and distances in Å follow each position.
Space group P6/mmm (No. 191)
Symmetry-distinct sites (fractional):
Pu: 0.3333 0.6667 0.0000 x2  2 Pu 3.08, 12 Cd 3.35
Sc: 0.0000 0.0000 0.0000 x1  2 Sc 3.08, 12 Cd 3.28
Cd: 0.0000 0.3269 0.5000 x6  5 Cd 2.89-3.08

---

[13]
PuSc5Cd4 | PBE-GGA | relaxed

Calculated values
The formation energy comes out at -0.1895 eV per atom. The electronic total energy comes out at -5.15 eV/atom.

Cell: 3.4592 3.4592 18.9454 Å, 90.00 90.00 90.00°
Closest atoms and distances in Å follow each position.
Space group P4/mmm (No. 123)
Symmetry-distinct sites (fractional):
Pu: 0.0000 0.0000 0.0000 x1  8 Sc 3.25, 4 Pu 3.46
Sc: 0.5000 0.5000 0.1126 x2  4 Cd 3.06, 4 Pu 3.25
Sc: 0.5000 0.5000 0.3085 x2  8 Cd 3.05-3.08
Sc: 0.5000 0.5000 0.5000 x1  8 Cd 3.04
Cd: 0.0000 0.0000 0.2096 x2  8 Sc 3.06-3.08
Cd: 0.0000 0.0000 0.4048 x2  8 Sc 3.04-3.05

---

[14]
PuScCdSn | PBE-GGA | relaxed

Calculated values
The formation energy comes out at -0.2862 eV per atom. The electronic total energy comes out at -6.68 eV/atom.

Cell: 7.3472 7.3472 7.3472 Å, 90.00 90.00 90.00°
Closest atoms and distances in Å follow each position.
Space group F-43m (No. 216)
Symmetry-distinct sites (fractional):
Pu: 0.0000 0.0000 0.0000 x4  4 Cd 3.18, 4 Sn 3.18
Sc: 0.0000 0.0000 0.5000 x4  4 Sn 3.18, 4 Cd 3.18
Cd: 0.2500 0.2500 0.2500 x4  4 Sc 3.18, 4 Pu 3.18
Sn: 0.2500 0.2500 0.7500 x4  4 Pu 3.18, 4 Sc 3.18

---

[15]
PuThScCd | PBE-GGA | relaxed

Calculated values
The formation energy comes out at 0.1045 eV per atom. The electronic total energy comes out at -7.15 eV/atom.

Cell: 7.4673 7.4673 7.4673 Å, 90.00 90.00 90.00°
Closest atoms and distances in Å follow each position.
Space group F-43m (No. 216)
Symmetry-distinct sites (fractional):
Pu: 0.0000 0.0000 0.0000 x4  4 Th 3.23, 4 Sc 3.23
Th: 0.2500 0.2500 0.7500 x4  4 Cd 3.23, 4 Pu 3.23
Sc: 0.2500 0.2500 0.2500 x4  4 Cd 3.23, 4 Pu 3.23
Cd: 0.0000 0.0000 0.5000 x4  4 Sc 3.23, 4 Th 3.23

---

[16]
TmPuScCd | PBE-GGA | relaxed

Calculated values
The formation energy comes out at 0.0725 eV per atom. The electronic total energy comes out at -6.44 eV/atom.

Cell: 7.4127 7.4127 7.4127 Å, 90.00 90.00 90.00°
Closest atoms and distances in Å follow each position.
Space group F-43m (No. 216)
Symmetry-distinct sites (fractional):
Tm: 0.0000 0.0000 0.0000 x4  4 Cd 3.21, 4 Pu 3.21
Pu: 0.2500 0.2500 0.2500 x4  4 Tm 3.21, 4 Sc 3.21
Sc: 0.0000 0.0000 0.5000 x4  4 Pu 3.21, 4 Cd 3.21
Cd: 0.2500 0.2500 0.7500 x4  4 Tm 3.21, 4 Sc 3.21

---

[17]
PuScZnCd | PBE-GGA | relaxed

Calculated values
The formation energy comes out at -0.0800 eV per atom. The electronic total energy comes out at -5.79 eV/atom.

Cell: 7.1583 7.1583 7.1583 Å, 90.00 90.00 90.00°
Closest atoms and distances in Å follow each position.
Space group F-43m (No. 216)
Symmetry-distinct sites (fractional):
Pu: 0.0000 0.0000 0.0000 x4  4 Cd 3.10, 4 Zn 3.10
Sc: 0.0000 0.0000 0.5000 x4  4 Cd 3.10, 4 Zn 3.10
Zn: 0.2500 0.2500 0.7500 x4  4 Sc 3.10, 4 Pu 3.10
Cd: 0.2500 0.2500 0.2500 x4  4 Sc 3.10, 4 Pu 3.10

---

[18]
Pu2CdSe | PBE-GGA | relaxed

Calculated values
The electronic total energy comes out at -8.86 eV/atom. As for the energy above the lowest structure with this stoichiometry: 0.000 eV/atom. As for the uncorrected formation energy: -57.0 kJ/mol of atoms.

Cell: 3.5149 3.5149 8.0819 Å, 90.00 90.00 90.00°
Closest atoms and distances in Å follow each position.
Space group P4/mmm (No. 123)
Symmetry-distinct sites (fractional):
Pu: 0.0000 0.0000 0.2206 x2  4 Se 3.06, 4 Cd 3.36
Cd: 0.5000 0.5000 0.5000 x1  8 Pu 3.36, 4 Cd 3.51
Se: 0.5000 0.5000 0.0000 x1  8 Pu 3.06

---

[19]
Pu3Cd5Se12 | PBE-GGA | relaxed

Calculated values
The electronic total energy comes out at -5.15 eV/atom. As for the uncorrected formation energy: -65.6 kJ/mol of atoms.

Cell: 16.4095 16.4095 16.4095 Å, 90.00 90.00 90.00°
Closest atoms and distances in Å follow each position.
Space group Ia-3d (No. 230)
Symmetry-distinct sites (fractional):
Pu: 0.0000 0.2500 0.1250 x24  8 Se 2.99-3.05
Cd: 0.0000 0.0000 0.0000 x16  6 Se 2.81
Cd: 0.0000 0.2500 0.3750 x24  4 Se 2.63
Se: 0.0175 0.0711 0.6547 x96  2 Cd 2.63-2.81

---

[20]
Pu2CdSe | PBE-GGA | relaxed

Calculated values
The electronic total energy comes out at -8.79 eV/atom. As for the energy above the lowest structure with this stoichiometry: 0.063 eV/atom. As for the uncorrected formation energy: -50.9 kJ/mol of atoms.

Cell: 3.8311 3.8311 26.3734 Å, 90.00 90.00 120.00°
Closest atoms and distances in Å follow each position.
Space group R-3m (No. 166, hexagonal axes)
Symmetry-distinct sites (fractional):
Pu: 0.0000 0.0000 0.2384 x6  3 Se 2.91
Cd: 0.0000 0.0000 0.0000 x3  6 Pu 3.34
Se: 0.0000 0.0000 0.5000 x3  6 Pu 2.91